No. 1
The following is a DFT calculation (PBE) of Er3TmSn2C2 after structural relaxation.

a = 3.579 Å, b = 3.579 Å, c = 15.663 Å
α = 90.00°, β = 90.00°, γ = 120.00°
Element x y z (fractional)
C (0.000, 0.000, 0.000)
C (0.000, 0.000, 0.500)
Er (0.333, 0.667, 0.416)
Er (0.667, 0.333, 0.584)
Er (0.667, 0.333, 0.916)
Sn (0.667, 0.333, 0.250)
Sn (0.333, 0.667, 0.750)
Tm (0.333, 0.667, 0.084)

VASP energy   -6.16 eV per atom
Calculated volume   173.76 Å³/cell
Space-group type   P3m1 (156)



No. 2
The following is a DFT calculation (PBE) of ErTmSnC after structural relaxation.

a = 3.574 Å, b = 3.574 Å, c = 15.640 Å
α = 90.00°, β = 90.00°, γ = 120.00°
Element x y z (fractional)
C (0.000, 0.000, 0.000)
C (0.000, 0.000, 0.500)
Er (0.333, 0.667, 0.416)
Er (0.667, 0.333, 0.584)
Sn (0.667, 0.333, 0.249)
Sn (0.333, 0.667, 0.751)
Tm (0.333, 0.667, 0.084)
Tm (0.667, 0.333, 0.916)

VASP energy   -6.15 eV per atom
Calculated volume   173.05 Å³/cell
Space-group type   P-3m1 (164)



No. 3
The following is a DFT calculation (PBE) of Y3ErSn2C2 after structural relaxation.

a = 3.621 Å, b = 3.621 Å, c = 15.821 Å
α = 90.00°, β = 90.00°, γ = 120.00°
Element x y z (fractional)
C (0.667, 0.333, 0.002)
C (0.667, 0.333, 0.500)
Er (0.000, 0.000, 0.084)
Sn (0.333, 0.667, 0.249)
Sn (0.000, 0.000, 0.750)
Y (0.000, 0.000, 0.415)
Y (0.333, 0.667, 0.585)
Y (0.333, 0.667, 0.916)

VASP energy   -6.86 eV per atom
Calculated volume   179.60 Å³/cell
Space-group type   P3m1 (156)



No. 4
The following is a DFT calculation (PBE) of ErZrSnC after structural relaxation.

a = 3.463 Å, b = 3.463 Å, c = 15.212 Å
α = 90.00°, β = 90.00°, γ = 120.00°
Element x y z (fractional)
C (0.000, 0.000, 0.007)
C (0.000, 0.000, 0.507)
Er (0.333, 0.667, 0.415)
Er (0.667, 0.333, 0.915)
Sn (0.667, 0.333, 0.244)
Sn (0.333, 0.667, 0.744)
Zr (0.333, 0.667, 0.085)
Zr (0.667, 0.333, 0.585)

VASP energy   -7.28 eV per atom
Polymorph energy (0 for the lowest one)   0.0 meV per atom
Calculated volume   157.99 Å³/cell
Space-group type   P6_3mc (186)